[1]
Compound: CoTeOs2I
Source: the Alexandria database
Functional: PBE
Structure: relaxed

Space-group type: P4/mmm, No. 123
Uncorrected formation energy, eV/atom: 2.206
Energy, eV for the cell shown: -23.23
Total magnetization, μB per formula unit: 2.353

Cell: 4.9359 4.5391 4.9359 Å, 90.00 90.00 90.00°
Positions (direct):
Os 0.0000 0.0000 0.5000
Os 0.5000 0.0000 0.0000
Te 0.5000 0.5000 0.5000
I 0.0000 0.0000 0.0000
Co 0.0000 0.5000 0.0000

***

[2]
Compound: TbPr2Tl
Source: the Alexandria database
Functional: PBE
Structure: relaxed

ΔE to the lowest computed polymorph, eV/atom: 0.0494
Space-group type: P4/mmm, No. 123
E_form, eV per atom: -0.148
Energy, eV for the cell shown: -17.15
Total magnetization, μB per formula unit: 0.000

Cell: 3.6971 3.6971 9.5460 Å, 90.00 90.00 90.00°
Positions (direct):
Pr 0.0000 0.0000 0.7694
Pr 0.0000 0.0000 0.2306
Tb 0.5000 0.5000 0.5000
Tl 0.5000 0.5000 0.0000

***

Among the records above, which one has the highest energy?
TbPr2Tl